No. 1
Here is ThSc3Tc after structural relaxation from Alexandria. Energies are from PBE-GGA.

abc: 4.945 6.393 7.759
angles: 90.00 90.00 90.00
Fractional coordinates of all 10 atoms:
Th 0.750 0.250 0.446
Th 0.250 0.750 0.554
Sc 0.250 0.486 0.149
Sc 0.750 0.514 0.851
Sc 0.250 0.014 0.149
Sc 0.750 0.986 0.851
Sc 0.250 0.250 0.773
Sc 0.750 0.750 0.227
Tc 0.750 0.250 0.124
Tc 0.250 0.750 0.876

Summary:
The calculated formation energy comes out at -0.272 eV/f.u. For the density of states at the Fermi level, the calculation gives 6.87 states/eV/f.u. Its polymorph energy (0 for the lowest one) is 0.0000 eV/atom.

No. 2
Here is Li5Ga6Ru after structural relaxation from Alexandria. Energies are from PBE-GGA.

abc: 4.442 5.929 7.012
angles: 90.00 71.53 90.00
Fractional coordinates of all 12 atoms:
Ru 0.000 0.000 0.000
Ga 0.835 0.755 0.331
Ga 0.835 0.245 0.331
Ga 0.500 0.254 0.000
Ga 0.500 0.746 0.000
Ga 0.165 0.755 0.669
Ga 0.165 0.245 0.669
Li 0.677 0.500 0.647
Li 0.340 0.000 0.320
Li 0.000 0.500 0.000
Li 0.660 0.000 0.680
Li 0.323 0.500 0.353

Summary:
The calculated formation energy comes out at -3.599 eV/f.u. For the density of states at the Fermi level, the calculation gives 4.09 states/eV/f.u.

No. 3
Here is AsIr2O after structural relaxation from Alexandria. Energies are from PBE-GGA.

abc: 4.269 4.269 7.440
angles: 73.33 73.33 90.00
Fractional coordinates of all 8 atoms:
As 0.000 0.000 0.000
As 0.750 0.250 0.500
Ir 0.553 0.125 0.250
Ir 0.197 0.625 0.250
Ir 0.375 0.447 0.750
Ir 0.875 0.803 0.750
O 0.500 0.500 0.000
O 0.250 0.750 0.500

Summary:
For the density of states at the Fermi level, the calculation gives 2.72 states/eV/f.u. Its polymorph energy (0 for the lowest one) is 0.0000 eV/atom. The calculation puts the energy relative to the elements, uncorrected at 0.139 eV/atom.

No. 4
Here is NdMg2Au3 after structural relaxation from Alexandria. Energies are from PBE-GGA.

abc: 4.734 4.734 13.136
angles: 90.00 90.00 120.00
Fractional coordinates of all 12 atoms:
Nd 0.333 0.667 0.677
Nd 0.667 0.333 0.323
Mg 0.000 0.000 0.500
Mg 0.333 0.667 0.145
Mg 0.667 0.333 0.855
Mg 0.000 0.000 0.000
Au 0.333 0.667 0.441
Au 0.667 0.333 0.076
Au 0.000 0.000 0.790
Au 0.000 0.000 0.210
Au 0.333 0.667 0.924
Au 0.667 0.333 0.559

Summary:
The calculated formation energy comes out at -4.090 eV/f.u. For the density of states at the Fermi level, the calculation gives 2.56 states/eV/f.u. Its polymorph energy (0 for the lowest one) is 0.0000 eV/atom.

No. 5
Here is NdTm4Bi5 after structural relaxation from Alexandria. Energies are from PBE-GGA.

abc: 4.468 6.326 11.819
angles: 105.52 100.90 90.00
Fractional coordinates of all 10 atoms:
Nd 0.000 0.000 0.000
Tm 0.400 0.400 0.800
Tm 0.798 0.798 0.595
Tm 0.202 0.202 0.405
Tm 0.600 0.600 0.200
Bi 0.605 0.105 0.209
Bi 0.801 0.301 0.602
Bi 0.199 0.699 0.398
Bi 0.000 0.500 0.000
Bi 0.395 0.895 0.791

Summary:
The calculated formation energy comes out at -8.088 eV/f.u. For the density of states at the Fermi level, the calculation gives 1.95 states/eV/f.u.

No. 6
Here is CsSrAlS3 after structural relaxation from Alexandria. Energies are from PBE-GGA.

abc: 4.894 8.390 9.300
angles: 103.95 90.00 106.96
Fractional coordinates of all 12 atoms:
Cs 0.353 0.705 0.937
Cs 0.647 0.295 0.063
Sr 0.648 0.296 0.569
Sr 0.352 0.704 0.431
Al 0.009 0.019 0.294
Al 0.991 0.981 0.706
S 0.864 0.729 0.233
S 0.845 0.690 0.645
S 0.505 0.009 0.295
S 0.155 0.310 0.355
S 0.495 0.991 0.705
S 0.136 0.271 0.767

Summary:
The calculation puts the energy relative to the elements, uncorrected at -1.295 eV/atom.